Record 1
A relaxed K2Rb2Hg2O crystal. Source: Alexandria via LeMat-Bulk, functional PBE.

```
data_K2Rb2Hg2O
_cell_length_a 16.4747
_cell_length_b 4.2600
_cell_length_c 7.6347
_cell_angle_alpha 90.00
_cell_angle_beta 96.24
_cell_angle_gamma 90.00
_symmetry_space_group_name_H-M 'C 1 2/m 1'
_symmetry_Int_Tables_number 12
_symmetry_space_group_name_Hall '-C 2y'
loop_
_atom_site_label
_atom_site_type_symbol
_atom_site_fract_x
_atom_site_fract_y
_atom_site_fract_z
K1 K 0.1526 0.0000 0.1173
Rb1 Rb 0.0279 0.5000 0.7689
Hg1 Hg 0.2050 0.0000 0.6003
O1 O 0.0000 0.0000 0.0000
```

Values from the calculation:
Total magnetic moment, μB/f.u.: 0.00
Formation energy without anion corrections, eV/atom: -0.5313
VASP energy, eV/atom: -1.92


Record 2
A relaxed KRb2HgO crystal. Source: Alexandria via LeMat-Bulk, functional PBE.

```
data_KRb2HgO
_cell_length_a 5.7698
_cell_length_b 5.7698
_cell_length_c 5.4045
_cell_angle_alpha 90.00
_cell_angle_beta 90.00
_cell_angle_gamma 90.00
_symmetry_space_group_name_H-M 'P 4/m m m'
_symmetry_Int_Tables_number 123
_symmetry_space_group_name_Hall '-P 4 2'
loop_
_atom_site_label
_atom_site_type_symbol
_atom_site_fract_x
_atom_site_fract_y
_atom_site_fract_z
K1 K 0.0000 0.0000 0.0000
Rb1 Rb 0.0000 0.5000 0.5000
Hg1 Hg 0.5000 0.5000 0.0000
O1 O 0.0000 0.0000 0.5000
```

Values from the calculation:
Total magnetic moment, μB/f.u.: 0.00
Formation energy without anion corrections, eV/atom: -0.6054
VASP energy, eV/atom: -2.26


Record 3
A relaxed K4Rb3Hg3O2 crystal. Source: Alexandria via LeMat-Bulk, functional PBE.

```
data_K4Rb3Hg3O2
_cell_length_a 5.3844
_cell_length_b 5.7208
_cell_length_c 29.4325
_cell_angle_alpha 90.00
_cell_angle_beta 90.00
_cell_angle_gamma 90.00
_symmetry_space_group_name_H-M 'I m m m'
_symmetry_Int_Tables_number 71
_symmetry_space_group_name_Hall '-I 2 2'
loop_
_atom_site_label
_atom_site_type_symbol
_atom_site_fract_x
_atom_site_fract_y
_atom_site_fract_z
K1 K 0.0000 0.0000 0.0967
K2 K 0.0000 0.5000 0.3128
Rb1 Rb 0.0000 0.0000 0.4035
Rb2 Rb 0.0000 0.5000 0.5000
Hg1 Hg 0.0000 0.5000 0.0000
Hg2 Hg 0.0000 0.5000 0.1908
O1 O 0.0000 0.5000 0.4002
```

Values from the calculation:
Total magnetic moment, μB/f.u.: 0.82
Formation energy without anion corrections, eV/atom: -0.5421
VASP energy, eV/atom: -2.05


Record 4
A relaxed K6RbHg2O crystal. Source: Alexandria via LeMat-Bulk, functional PBE.

```
data_K6RbHg2O
_cell_length_a 9.3982
_cell_length_b 9.3982
_cell_length_c 37.6815
_cell_angle_alpha 90.00
_cell_angle_beta 90.00
_cell_angle_gamma 120.00
_symmetry_space_group_name_H-M 'R -3 m'
_symmetry_Int_Tables_number 166
_symmetry_space_group_name_Hall '-R 3 2"'
loop_
_atom_site_label
_atom_site_type_symbol
_atom_site_fract_x
_atom_site_fract_y
_atom_site_fract_z
K1 K 0.0451 0.5226 0.3606
K2 K 0.0699 0.5350 0.2066
Rb1 Rb 0.0000 0.0000 0.0693
Hg1 Hg 0.0000 0.0000 0.2126
Hg2 Hg 0.0000 0.0000 0.3789
O1 O 0.0000 0.0000 0.0000
O2 O 0.0000 0.0000 0.5000
```

Values from the calculation:
Total magnetic moment, μB/f.u.: 0.00
Formation energy without anion corrections, eV/atom: -0.2669
VASP energy, eV/atom: -1.58


Record 5
A relaxed K2Rb6HgO crystal. Source: Alexandria via LeMat-Bulk, functional PBE.

```
data_K2Rb6HgO
_cell_length_a 13.4172
_cell_length_b 13.4561
_cell_length_c 9.4436
_cell_angle_alpha 90.00
_cell_angle_beta 134.31
_cell_angle_gamma 90.00
_symmetry_space_group_name_H-M 'C 1 2/m 1'
_symmetry_Int_Tables_number 12
_symmetry_space_group_name_Hall '-C 2y'
loop_
_atom_site_label
_atom_site_type_symbol
_atom_site_fract_x
_atom_site_fract_y
_atom_site_fract_z
K1 K 0.0000 0.2451 0.0000
Rb1 Rb 0.0000 0.2891 0.5000
Rb2 Rb 0.2089 0.5000 0.4953
Rb3 Rb 0.2090 0.5000 0.9220
Hg1 Hg 0.0000 0.0000 0.5000
O1 O 0.0000 0.5000 0.5000
```

Values from the calculation:
Total magnetic moment, μB/f.u.: 0.01
Formation energy without anion corrections, eV/atom: -0.3032
VASP energy, eV/atom: -1.63


Record 6
A relaxed KRb5Hg2O crystal. Source: Alexandria via LeMat-Bulk, functional PBE.

```
data_KRb5Hg2O
_cell_length_a 8.5224
_cell_length_b 8.5224
_cell_length_c 11.7737
_cell_angle_alpha 90.00
_cell_angle_beta 90.00
_cell_angle_gamma 90.00
_symmetry_space_group_name_H-M 'I 4 m m'
_symmetry_Int_Tables_number 107
_symmetry_space_group_name_Hall 'I 4 -2'
loop_
_atom_site_label
_atom_site_type_symbol
_atom_site_fract_x
_atom_site_fract_y
_atom_site_fract_z
K1 K 0.0000 0.0000 0.0000
Rb1 Rb 0.0000 0.0000 0.5458
Rb2 Rb 0.2297 0.2297 0.7766
Hg1 Hg 0.0000 0.5000 0.0256
O1 O 0.0000 0.0000 0.7784
```

Values from the calculation:
Total magnetic moment, μB/f.u.: 0.00
Formation energy without anion corrections, eV/atom: -0.4159
VASP energy, eV/atom: -1.69


Record 7
A relaxed KRe2HgO8 crystal. Source: Alexandria via LeMat-Bulk, functional PBE.

```
data_KRe2HgO8
_cell_length_a 11.5075
_cell_length_b 6.3638
_cell_length_c 6.8398
_cell_angle_alpha 90.00
_cell_angle_beta 110.77
_cell_angle_gamma 90.00
_symmetry_space_group_name_H-M 'C 1 2/m 1'
_symmetry_Int_Tables_number 12
_symmetry_space_group_name_Hall '-C 2y'
loop_
_atom_site_label
_atom_site_type_symbol
_atom_site_fract_x
_atom_site_fract_y
_atom_site_fract_z
K1 K 0.0000 0.0000 0.0000
Re1 Re 0.2066 0.0000 0.6827
Hg1 Hg 0.0000 0.5000 0.5000
O1 O 0.1301 0.5000 0.2237
O2 O 0.1476 0.2243 0.7673
O3 O 0.1523 0.0000 0.4090
```

Values from the calculation:
Total magnetic moment, μB/f.u.: 0.67
Formation energy without anion corrections, eV/atom: -1.4852
VASP energy, eV/atom: -6.98


Record 8
A relaxed K2ReHgO4 crystal. Source: Alexandria via LeMat-Bulk, functional PBE.

```
data_K2ReHgO4
_cell_length_a 7.6371
_cell_length_b 7.6371
_cell_length_c 7.0923
_cell_angle_alpha 90.00
_cell_angle_beta 90.00
_cell_angle_gamma 90.00
_symmetry_space_group_name_H-M 'I -4'
_symmetry_Int_Tables_number 82
_symmetry_space_group_name_Hall 'I -4'
loop_
_atom_site_label
_atom_site_type_symbol
_atom_site_fract_x
_atom_site_fract_y
_atom_site_fract_z
K1 K 0.0000 0.0000 0.0000
K2 K 0.0000 0.5000 0.2500
Re1 Re 0.0000 0.0000 0.5000
Hg1 Hg 0.0000 0.5000 0.7500
O1 O 0.0714 0.1713 0.3426
```

Values from the calculation:
Total magnetic moment, μB/f.u.: 1.02
Formation energy without anion corrections, eV/atom: -1.4372
VASP energy, eV/atom: -5.78


Record 9
A relaxed K2HgRhO crystal. Source: Alexandria via LeMat-Bulk, functional PBE.

```
data_K2HgRhO
_cell_length_a 5.8532
_cell_length_b 5.8532
_cell_length_c 3.8077
_cell_angle_alpha 90.00
_cell_angle_beta 90.00
_cell_angle_gamma 90.00
_symmetry_space_group_name_H-M 'P 4/m m m'
_symmetry_Int_Tables_number 123
_symmetry_space_group_name_Hall '-P 4 2'
loop_
_atom_site_label
_atom_site_type_symbol
_atom_site_fract_x
_atom_site_fract_y
_atom_site_fract_z
K1 K 0.0000 0.5000 0.0000
Hg1 Hg 0.0000 0.0000 0.5000
Rh1 Rh 0.5000 0.5000 0.5000
O1 O 0.5000 0.5000 0.0000
```

Values from the calculation:
Total magnetic moment, μB/f.u.: 0.00
Formation energy without anion corrections, eV/atom: -0.4940
VASP energy, eV/atom: -3.46


Record 10
A relaxed K2HgRuO6 crystal. Source: Alexandria via LeMat-Bulk, functional PBE.

```
data_K2HgRuO6
_cell_length_a 6.0555
_cell_length_b 6.0555
_cell_length_c 5.9469
_cell_angle_alpha 90.00
_cell_angle_beta 90.00
_cell_angle_gamma 120.00
_symmetry_space_group_name_H-M 'P -3 m 1'
_symmetry_Int_Tables_number 164
_symmetry_space_group_name_Hall '-P 3 2"'
loop_
_atom_site_label
_atom_site_type_symbol
_atom_site_fract_x
_atom_site_fract_y
_atom_site_fract_z
K1 K 0.3333 0.6667 0.1519
Hg1 Hg 0.0000 0.0000 0.5000
Ru1 Ru 0.0000 0.0000 0.0000
O1 O 0.1454 0.2908 0.8095
```

Values from the calculation:
Total magnetic moment, μB/f.u.: 0.71
Formation energy without anion corrections, eV/atom: -0.7053
VASP energy, eV/atom: -4.86


Record 11
A relaxed K3HgS2O8 crystal. Source: Alexandria via LeMat-Bulk, functional PBE.

```
data_K3HgS2O8
_cell_length_a 5.8475
_cell_length_b 5.8475
_cell_length_c 8.2184
_cell_angle_alpha 90.00
_cell_angle_beta 90.00
_cell_angle_gamma 120.00
_symmetry_space_group_name_H-M 'P -3 m 1'
_symmetry_Int_Tables_number 164
_symmetry_space_group_name_Hall '-P 3 2"'
loop_
_atom_site_label
_atom_site_type_symbol
_atom_site_fract_x
_atom_site_fract_y
_atom_site_fract_z
K1 K 0.0000 0.0000 0.0000
K2 K 0.3333 0.6667 0.7065
Hg1 Hg 0.0000 0.0000 0.5000
S1 S 0.3333 0.6667 0.2050
O1 O 0.1932 0.3864 0.2659
O2 O 0.3333 0.6667 0.0253
```

Values from the calculation:
Total magnetic moment, μB/f.u.: 0.01
Formation energy without anion corrections, eV/atom: -1.5447
VASP energy, eV/atom: -5.22


Record 12
A relaxed KHgS2O6 crystal. Source: Alexandria via LeMat-Bulk, functional PBE.

```
data_KHgS2O6
_cell_length_a 11.5055
_cell_length_b 9.7916
_cell_length_c 7.9315
_cell_angle_alpha 90.00
_cell_angle_beta 126.51
_cell_angle_gamma 90.00
_symmetry_space_group_name_H-M 'C 1 2/c 1'
_symmetry_Int_Tables_number 15
_symmetry_space_group_name_Hall '-C 2yc'
loop_
_atom_site_label
_atom_site_type_symbol
_atom_site_fract_x
_atom_site_fract_y
_atom_site_fract_z
K1 K 0.0000 0.0291 0.2500
Hg1 Hg 0.0000 0.3883 0.7500
S1 S 0.1855 0.3056 0.6901
O1 O 0.1487 0.3780 0.5016
O2 O 0.1534 0.1587 0.6612
O3 O 0.1732 0.1582 0.1154
```

Values from the calculation:
Total magnetic moment, μB/f.u.: 0.80
Formation energy without anion corrections, eV/atom: -1.1767
VASP energy, eV/atom: -5.12


Question: Which of these has the lowest VASP energy?
Answer: KRe2HgO8